Entry from Alexandria via LeMat-Bulk: a geometry-optimized PdPt3Pb6 structure (PBE-GGA).

abc: 3.9762 11.2441 11.9175
angles: 108.59 90.00 90.00
Closest atoms and distances in Å follow each position.
Fractional positions:
Pd 0.7500 0.0554 0.7024  8 Pb 2.95-3.14
Pd 0.2500 0.9446 0.2976  8 Pb 2.95-3.14
Pt 0.7500 0.4289 0.8301  6 Pb 2.79-2.84
Pt 0.2500 0.5711 0.1699  6 Pb 2.79-2.84
Pt 0.7500 0.6889 0.5168  7 Pb 2.81-2.97
Pt 0.2500 0.3111 0.4832  7 Pb 2.81-2.97
Pt 0.7500 0.1592 0.0657  6 Pb 2.74-2.85
Pt 0.2500 0.8408 0.9343  6 Pb 2.74-2.85
Pb 0.7500 0.4787 0.6120  4 Pt 2.83-2.93
Pb 0.2500 0.5213 0.3880  4 Pt 2.83-2.93
Pb 0.7500 0.9245 0.1097  3 Pt 2.82-2.85, 2 Pd 2.95
Pb 0.2500 0.0755 0.8903  3 Pt 2.82-2.85, 2 Pd 2.95
Pb 0.7500 0.4007 0.0587  4 Pt 2.74-2.84
Pb 0.2500 0.5993 0.9413  4 Pt 2.74-2.84
Pb 0.7500 0.7444 0.2912  3 Pt 2.84-2.95, 2 Pd 2.99
Pb 0.2500 0.2556 0.7088  3 Pt 2.84-2.95, 2 Pd 2.99
Pb 0.7500 0.1079 0.4592  3 Pd 2.96-3.14, 2 Pt 2.97
Pb 0.2500 0.8921 0.5408  3 Pd 2.96-3.14, 2 Pt 2.97
Pb 0.7500 0.8074 0.7634  3 Pt 2.78-2.81, 1 Pd 3.10
Pb 0.2500 0.1926 0.2366  3 Pt 2.78-2.81, 1 Pd 3.10

Results
Calculated volume (Å³ per atom): 25.251
Formation enthalpy at 0 K (eV per atom): -0.1560
Uncorrected energy (eV per formula unit): -47.1
Magnetization (μB per atom): 0.000


Entry from Alexandria via LeMat-Bulk: a geometry-optimized Pd7PtPb2 structure (PBE-GGA).

abc: 2.8921 9.1083 9.1083
angles: 124.98 90.00 90.00
Closest atoms and distances in Å follow each position.
Fractional positions:
Pd 0.0000 0.8265 0.1735  2 Pb 2.77, 6 Pd 2.78-2.89, 1 Pt 2.80
Pd 0.0000 0.1735 0.8265  2 Pb 2.77, 6 Pd 2.78-2.89, 1 Pt 2.80
Pd 0.5000 0.1410 0.3159  6 Pd 2.69-2.89, 1 Pb 2.73, 2 Pt 2.79
Pd 0.5000 0.8590 0.6841  6 Pd 2.69-2.89, 1 Pb 2.73, 2 Pt 2.79
Pd 0.5000 0.3159 0.1410  6 Pd 2.69-2.89, 1 Pb 2.73, 2 Pt 2.79
Pd 0.5000 0.6841 0.8590  6 Pd 2.69-2.89, 1 Pb 2.73, 2 Pt 2.79
Pd 0.5000 0.5000 0.5000  6 Pd 2.69-2.89, 2 Pb 2.92
Pt 0.0000 0.0000 0.0000  10 Pd 2.79-2.80, 2 Pt 2.89
Pb 0.5000 0.6804 0.3196  5 Pd 2.73-2.92, 2 Pb 2.89
Pb 0.5000 0.3196 0.6804  5 Pd 2.73-2.92, 2 Pb 2.89

Results
Calculated volume (Å³ per atom): 19.658
Formation enthalpy at 0 K (eV per atom): 0.1160
Uncorrected energy (eV per formula unit): -48.6
Magnetization (μB per atom): 0.000


Entry from Alexandria via LeMat-Bulk: a geometry-optimized Pd2PtPb5 structure (PBE-GGA).

abc: 3.7886 7.6540 13.6531
angles: 90.00 90.00 90.00
Closest atoms and distances in Å follow each position.
Fractional positions:
Pd 0.5000 0.4827 0.3057  6 Pb 2.82-2.98
Pd 0.5000 0.5173 0.6943  6 Pb 2.82-2.98
Pd 0.5000 0.0173 0.8057  6 Pb 2.82-2.98
Pd 0.5000 0.9827 0.1943  6 Pb 2.82-2.98
Pt 0.0000 0.0000 0.5000  6 Pb 2.79-2.87
Pt 0.0000 0.5000 0.0000  6 Pb 2.79-2.87
Pb 0.5000 0.3200 0.1105  2 Pt 2.79, 2 Pd 2.82-2.94
Pb 0.5000 0.6800 0.8895  2 Pt 2.79, 2 Pd 2.82-2.94
Pb 0.5000 0.8200 0.3895  2 Pt 2.79, 2 Pd 2.82-2.94
Pb 0.5000 0.1800 0.6105  2 Pt 2.79, 2 Pd 2.82-2.94
Pb 0.0000 0.8132 0.6821  1 Pt 2.87, 4 Pd 2.96-2.98
Pb 0.0000 0.1868 0.3179  1 Pt 2.87, 4 Pd 2.96-2.98
Pb 0.0000 0.3132 0.8179  1 Pt 2.87, 4 Pd 2.96-2.98
Pb 0.0000 0.6868 0.1821  1 Pt 2.87, 4 Pd 2.96-2.98
Pb 0.0000 0.5000 0.5000  4 Pd 3.26, 6 Pb 3.44-3.45
Pb 0.0000 0.0000 0.0000  4 Pd 3.26, 6 Pb 3.44-3.45

Results
Calculated volume (Å³ per atom): 24.744
Formation enthalpy at 0 K (eV per atom): -0.1366
Uncorrected energy (eV per formula unit): -36.1
Magnetization (μB per atom): 0.000


Entry from Alexandria via LeMat-Bulk: a geometry-optimized PuPdPtPb structure (PBE-GGA).

abc: 4.9208 4.9208 4.9208
angles: 60.00 60.00 60.00
Closest atoms and distances in Å follow each position.
Fractional positions:
Pb 0.7500 0.7500 0.7500  4 Pd 3.01, 4 Pt 3.01
Pd 0.0000 0.0000 0.0000  4 Pb 3.01, 4 Pu 3.01
Pt 0.5000 0.5000 0.5000  4 Pu 3.01, 4 Pb 3.01
Pu 0.2500 0.2500 0.2500  4 Pd 3.01, 4 Pt 3.01

Results
Calculated volume (Å³ per atom): 21.064
Formation enthalpy at 0 K (eV per atom): -0.4191
Uncorrected energy (eV per formula unit): -31.0
Magnetization (μB per atom): 1.282


Entry from Alexandria via LeMat-Bulk: a geometry-optimized PdPtRhPb structure (PBE-GGA).

abc: 4.5903 4.5903 4.5903
angles: 60.00 60.00 60.00
Closest atoms and distances in Å follow each position.
Fractional positions:
Pb 0.2500 0.2500 0.2500  4 Rh 2.81, 4 Pd 2.81
Rh 0.5000 0.5000 0.5000  4 Pb 2.81, 4 Pt 2.81
Pd 0.0000 0.0000 0.0000  4 Pt 2.81, 4 Pb 2.81
Pt 0.7500 0.7500 0.7500  4 Pd 2.81, 4 Rh 2.81

Results
Calculated volume (Å³ per atom): 17.098
Formation enthalpy at 0 K (eV per atom): -0.0445
Uncorrected energy (eV per formula unit): -22.5
Magnetization (μB per atom): 0.000


Entry from Alexandria via LeMat-Bulk: a geometry-optimized Sb2PdPt7Pb2 structure (PBE-GGA).

abc: 3.9507 3.9507 16.5970
angles: 83.16 83.16 90.02
Closest atoms and distances in Å follow each position.
Fractional positions:
Sb 0.6165 0.6165 0.7663  5 Pt 2.60-2.65
Sb 0.3835 0.3835 0.2337  5 Pt 2.60-2.65
Pd 0.0000 0.0000 0.0000  12 Pt 2.79-2.86
Pt 0.5000 0.5000 0.0000  4 Pd 2.79, 8 Pt 2.86
Pt 0.3041 0.3041 0.3928  1 Sb 2.60, 4 Pb 2.85-2.86
Pt 0.6959 0.6959 0.6072  1 Sb 2.60, 4 Pb 2.85-2.86
Pt 0.9369 0.4365 0.1262  2 Sb 2.64-2.65, 6 Pt 2.79-2.86, 2 Pd 2.86
Pt 0.4365 0.9369 0.1262  2 Sb 2.64-2.65, 6 Pt 2.79-2.86, 2 Pd 2.86
Pt 0.5635 0.0631 0.8738  2 Sb 2.64-2.65, 6 Pt 2.79-2.86, 2 Pd 2.86
Pt 0.0631 0.5635 0.8738  2 Sb 2.64-2.65, 6 Pt 2.79-2.86, 2 Pd 2.86
Pb 0.7857 0.7857 0.4290  5 Pt 2.85-2.92
Pb 0.2143 0.2143 0.5710  5 Pt 2.85-2.92

Results
Calculated volume (Å³ per atom): 21.279
Energy relative to the elements, uncorrected (meV per atom): -220
Uncorrected energy (eV per formula unit): -65.8
Magnetization (μB per atom): 0.000


Entry from Alexandria via LeMat-Bulk: a geometry-optimized ScPdPtPb structure (PBE-GGA).

abc: 4.7445 4.7445 4.7445
angles: 60.00 60.00 60.00
Closest atoms and distances in Å follow each position.
Fractional positions:
Pb 0.5000 0.5000 0.5000  4 Pt 2.91, 4 Pd 2.91
Sc 0.0000 0.0000 0.0000  4 Pd 2.91, 4 Pt 2.91
Pd 0.2500 0.2500 0.2500  4 Pb 2.91, 4 Sc 2.91
Pt 0.7500 0.7500 0.7500  4 Pb 2.91, 4 Sc 2.91

Results
Calculated volume (Å³ per atom): 18.880
Formation enthalpy at 0 K (eV per atom): -0.6812
Uncorrected energy (eV per formula unit): -24.0
Magnetization (μB per atom): 0.000


Entry from Alexandria via LeMat-Bulk: a geometry-optimized PdPtPb2Se structure (PBE-GGA).

abc: 5.2738 5.1102 5.2738
angles: 90.00 90.00 90.00
Closest atoms and distances in Å follow each position.
Fractional positions:
Pb 0.0000 0.0000 0.5000  2 Pt 2.64
Pb 0.5000 0.0000 0.0000  2 Pt 2.64
Se 0.5000 0.5000 0.5000  8 Pb 3.67, 4 Pd 3.73
Pd 0.0000 0.5000 0.0000  2 Pt 2.56
Pt 0.0000 0.0000 0.0000  2 Pd 2.56, 4 Pb 2.64

Results
Calculated volume (Å³ per atom): 28.426
Energy relative to the elements, uncorrected (meV per atom): 308
Uncorrected energy (eV per formula unit): -20.6
Magnetization (μB per atom): 0.000


Entry from Alexandria via LeMat-Bulk: a geometry-optimized Sn2Pd7PtPb2 structure (PBE-GGA).

abc: 3.8659 3.8659 16.2447
angles: 83.49 83.49 90.02
Closest atoms and distances in Å follow each position.
Fractional positions:
Sn 0.8086 0.8086 0.3907  5 Pd 2.67-2.86
Sn 0.1914 0.1914 0.6093  5 Pd 2.67-2.86
Pd 0.5000 0.5000 0.0000  4 Pt 2.73, 8 Pd 2.83
Pd 0.2831 0.2831 0.4431  5 Sn 2.67-2.86
Pd 0.7169 0.7169 0.5569  5 Sn 2.67-2.86
Pd 0.9388 0.4388 0.1291  6 Pd 2.73-2.83, 2 Pb 2.79, 2 Pt 2.83
Pd 0.4388 0.9388 0.1291  6 Pd 2.73-2.83, 2 Pb 2.79, 2 Pt 2.83
Pd 0.5612 0.0612 0.8709  6 Pd 2.73-2.83, 2 Pb 2.79, 2 Pt 2.83
Pd 0.0612 0.5612 0.8709  6 Pd 2.73-2.83, 2 Pb 2.79, 2 Pt 2.83
Pt 0.0000 0.0000 0.0000  12 Pd 2.73-2.83
Pb 0.6212 0.6212 0.7454  5 Pd 2.79-3.02
Pb 0.3788 0.3788 0.2546  5 Pd 2.79-3.02

Results
Calculated volume (Å³ per atom): 19.969
Formation enthalpy at 0 K (eV per atom): -0.1542
Uncorrected energy (eV per formula unit): -59.7
Magnetization (μB per atom): 0.000


Entry from Alexandria via LeMat-Bulk: a geometry-optimized SnPdPtPb structure (PBE-GGA).

abc: 4.8538 4.8538 4.8538
angles: 60.00 60.00 60.00
Closest atoms and distances in Å follow each position.
Fractional positions:
Pb 0.7500 0.7500 0.7500  4 Pd 2.97, 4 Pt 2.97
Pd 0.5000 0.5000 0.5000  4 Pb 2.97, 4 Sn 2.97
Sn 0.2500 0.2500 0.2500  4 Pt 2.97, 4 Pd 2.97
Pt 0.0000 0.0000 0.0000  4 Pb 2.97, 4 Sn 2.97

Results
Calculated volume (Å³ per atom): 20.215
Formation enthalpy at 0 K (eV per atom): -0.1782
Uncorrected energy (eV per formula unit): -19.7
Magnetization (μB per atom): 0.000


Repeat the sixth record exactly.
Entry from Alexandria via LeMat-Bulk: a geometry-optimized Sb2PdPt7Pb2 structure (PBE-GGA).

abc: 3.9507 3.9507 16.5970
angles: 83.16 83.16 90.02
Closest atoms and distances in Å follow each position.
Fractional positions:
Sb 0.6165 0.6165 0.7663  5 Pt 2.60-2.65
Sb 0.3835 0.3835 0.2337  5 Pt 2.60-2.65
Pd 0.0000 0.0000 0.0000  12 Pt 2.79-2.86
Pt 0.5000 0.5000 0.0000  4 Pd 2.79, 8 Pt 2.86
Pt 0.3041 0.3041 0.3928  1 Sb 2.60, 4 Pb 2.85-2.86
Pt 0.6959 0.6959 0.6072  1 Sb 2.60, 4 Pb 2.85-2.86
Pt 0.9369 0.4365 0.1262  2 Sb 2.64-2.65, 6 Pt 2.79-2.86, 2 Pd 2.86
Pt 0.4365 0.9369 0.1262  2 Sb 2.64-2.65, 6 Pt 2.79-2.86, 2 Pd 2.86
Pt 0.5635 0.0631 0.8738  2 Sb 2.64-2.65, 6 Pt 2.79-2.86, 2 Pd 2.86
Pt 0.0631 0.5635 0.8738  2 Sb 2.64-2.65, 6 Pt 2.79-2.86, 2 Pd 2.86
Pb 0.7857 0.7857 0.4290  5 Pt 2.85-2.92
Pb 0.2143 0.2143 0.5710  5 Pt 2.85-2.92

Results
Calculated volume (Å³ per atom): 21.279
Energy relative to the elements, uncorrected (meV per atom): -220
Uncorrected energy (eV per formula unit): -65.8
Magnetization (μB per atom): 0.000